Computed, not measured: crystalline La2As3PtRh4 at its relaxed geometry at the PBE level of DFT. Values from VASP.

```
&SYSTEM
  ibrav = 0, nat = 10, ntyp = 4
/
ATOMIC_SPECIES
La 138.91 La.upf
Pt 195.08 Pt.upf
Rh 102.91 Rh.upf
As 74.92 As.upf
ATOMIC_POSITIONS angstrom
La 5.153 0.071 6.759
Pt 2.209 -1.165 5.817
Rh 2.790 -0.993 3.131
As 1.527 -1.561 1.193
La 0.039 0.106 3.637
Rh 2.402 1.170 7.265
Rh -0.773 -2.507 1.239
As 3.664 1.738 9.203
Rh 0.000 0.000 0.000
As 2.982 1.342 4.579
CELL_PARAMETERS angstrom
-3.109 -1.221 2.383
1.562 -3.793 0.094
5.965 2.685 9.157
```

Its energy of formation is -868 meV per atom. The calculation puts the energy at -6.79 eV/atom. The space group is P-4m2.